# 1
## SrSi3Rh (PBE-GGA)

Data for a relaxed SrSi3Rh crystal.

Cell: 7.8001 6.4619 8.4588 Å, 90.00 116.51 90.00°
With the nearest neighbours (Å) after each atom.
Fractional positions:
Sr 0.1308 0.0679 0.2176  10 Si 3.07-3.41, 2 Rh 3.25-3.29, 1 Sr 3.43
Sr 0.1308 0.4321 0.7176  10 Si 3.07-3.41, 2 Rh 3.25-3.29, 1 Sr 3.43
Sr 0.8692 0.5679 0.2824  10 Si 3.07-3.41, 2 Rh 3.25-3.29, 1 Sr 3.43
Sr 0.8692 0.9321 0.7824  10 Si 3.07-3.41, 2 Rh 3.25-3.29, 1 Sr 3.43
Si 0.1538 0.5721 0.1086  3 Si 2.46-2.61, 1 Rh 2.49
Si 0.1538 0.9279 0.6086  3 Si 2.46-2.61, 1 Rh 2.49
Si 0.3232 0.0464 0.9375  2 Rh 2.40-2.52, 3 Si 2.52-2.61
Si 0.3232 0.4536 0.4375  2 Rh 2.40-2.52, 3 Si 2.52-2.61
Si 0.4350 0.1538 0.6508  3 Rh 2.38-2.49, 2 Si 2.52
Si 0.4350 0.3462 0.1508  3 Rh 2.38-2.49, 2 Si 2.52
Si 0.5650 0.6538 0.8492  3 Rh 2.38-2.49, 2 Si 2.52
Si 0.5650 0.8462 0.3492  3 Rh 2.38-2.49, 2 Si 2.52
Si 0.6768 0.5464 0.5625  2 Rh 2.40-2.52, 3 Si 2.52-2.61
Si 0.6768 0.9536 0.0625  2 Rh 2.40-2.52, 3 Si 2.52-2.61
Si 0.8462 0.0721 0.3914  3 Si 2.46-2.61, 1 Rh 2.49
Si 0.8462 0.4279 0.8914  3 Si 2.46-2.61, 1 Rh 2.49
Rh 0.4240 0.7068 0.0581  6 Si 2.38-2.52
Rh 0.4240 0.7932 0.5581  6 Si 2.38-2.52
Rh 0.5760 0.2068 0.4419  6 Si 2.38-2.52
Rh 0.5760 0.2932 0.9419  6 Si 2.38-2.52

Summary:
The uncorrected formation energy is -0.463 eV/atom. Its total energy is -110.48 eV per cell.



# 2
## Sr2SiRh (PBE-GGA)

Data for a relaxed Sr2SiRh crystal.

Cell: 3.4225 3.4225 9.0452 Å, 90.00 90.00 90.00°
With the nearest neighbours (Å) after each atom.
Fractional positions:
Sr 0.0000 0.0000 0.0000  1 Rh 3.07, 4 Si 3.28, 4 Sr 3.42
Sr 0.5000 0.5000 0.4083  1 Si 3.14, 4 Rh 3.32, 4 Sr 3.42
Si 0.5000 0.5000 0.7554  4 Rh 2.57
Rh 0.0000 0.0000 0.6601  4 Si 2.57

Summary:
The uncorrected formation energy is -0.261 eV/atom. Its total energy is -17.18 eV per cell.



# 3
## Sr2SiRh (PBE-GGA)

Data for a relaxed Sr2SiRh crystal.

Cell: 3.7480 3.7480 7.2580 Å, 90.00 90.00 90.00°
With the nearest neighbours (Å) after each atom.
Fractional positions:
Sr 0.0000 0.0000 0.2388  4 Rh 3.17, 4 Si 3.26, 1 Sr 3.47
Sr 0.0000 0.0000 0.7612  4 Rh 3.17, 4 Si 3.26, 1 Sr 3.47
Si 0.5000 0.5000 0.5000  8 Sr 3.26, 2 Rh 3.63
Rh 0.5000 0.5000 0.0000  8 Sr 3.17

Summary:
The uncorrected formation energy is -0.082 eV/atom. Its total energy is -16.46 eV per cell.